1.
First-principles (PBE) data for K3Pr3PaS8 after structural relaxation, as listed in the Alexandria database.

Cell and atoms, written as POSCAR:
```
K3Pr3PaS8
1.0
4.1902 2.4192 7.4878
-4.1902 2.4192 7.4878
0.0000 -4.8384 7.4878
K Pr Pa S
3 3 1 8
Cartesian
-2.0951 -1.2096 7.4878
-2.0951 1.2096 14.9755
0.0000 2.4192 7.4878
-4.1902 0.0000 11.2317
-2.0951 1.2096 3.7439
2.0951 1.2096 3.7439
0.0000 0.0000 11.2317
0.0000 0.0000 5.3066
-1.9956 -1.1522 12.7138
0.0000 -2.3044 9.7495
-1.9956 1.1522 9.7495
1.9956 -1.1522 12.7138
0.0000 2.3044 12.7138
1.9956 1.1522 9.7495
0.0000 0.0000 17.1567
```

The calculated density is 3.75 g/cm³. Its energy relative to the elements, uncorrected is -26.96 eV/f.u. Its space group is R-3m, No. 166.

---

2.
First-principles (PBE) data for KPrPaSe4 after structural relaxation, as listed in the Alexandria database.

Cell and atoms, written as POSCAR:
```
KPrPaSe4
1.0
-4.3954 4.5174 6.2895
4.3954 -4.5174 6.2895
4.3954 4.5174 -6.2895
K Pr Pa Se
2 2 2 8
Cartesian
0.0000 2.2587 1.6085
4.3954 2.2587 4.6810
4.3954 0.0000 0.0000
0.0000 0.0000 6.2895
2.1977 2.2587 -3.1448
2.1977 -2.2587 3.1448
4.3954 -0.3785 3.0025
4.3954 4.1389 -3.0025
2.4354 2.2587 -0.3018
6.3554 2.2587 -0.3018
-1.9600 2.2587 6.5913
1.9600 2.2587 6.5913
0.0000 0.3785 9.2920
0.0000 4.8959 3.2870
```

The calculated density is 4.83 g/cm³. Its energy relative to the elements, uncorrected is -10.69 eV/f.u. Its space group is Imma, No. 74.

---

3.
First-principles (PBE) data for K4Pr3PaSe8 after structural relaxation, as listed in the Alexandria database.

Cell and atoms, written as POSCAR:
```
K4Pr3PaSe8
1.0
4.3372 2.5041 7.7299
-4.3372 2.5041 7.7299
0.0000 -5.0081 7.7299
K Pr Pa Se
4 3 1 8
Cartesian
0.0000 0.0000 0.0000
-2.1686 -1.2520 7.7299
-2.1686 1.2520 15.4597
0.0000 2.5041 7.7298
-4.3372 0.0000 11.5948
-2.1686 1.2520 3.8649
2.1686 1.2520 3.8649
0.0000 0.0000 11.5948
0.0000 0.0000 5.5329
-2.1031 -1.2142 13.2286
0.0000 -2.4284 9.9609
-2.1031 1.2142 9.9609
2.1031 -1.2142 13.2286
0.0000 2.4284 13.2286
2.1031 1.2142 9.9609
0.0000 0.0000 17.6567
```

The calculated density is 4.75 g/cm³. Its energy relative to the elements, uncorrected is -26.08 eV/f.u. Its space group is R-3m, No. 166.

---

4.
First-principles (PBE) data for K2Pr2PaSe6 after structural relaxation, as listed in the Alexandria database.

Cell and atoms, written as POSCAR:
```
K2Pr2PaSe6
1.0
3.7446 -6.4291 0.0000
3.7446 6.4291 0.0000
-2.5254 0.0000 7.8413
K Pr Pa Se
2 2 1 6
Cartesian
3.7446 4.2477 0.0000
3.7446 -4.2477 0.0000
2.4819 2.1355 3.9206
2.4819 -2.1355 3.9206
-1.2627 0.0000 3.9206
-0.0671 2.0657 5.5279
1.1099 0.0000 2.3180
-0.0671 -2.0657 5.5279
5.0308 2.0657 2.3133
3.8538 0.0000 5.5233
5.0308 -2.0657 2.3133
```

The calculated density is 4.68 g/cm³. Its energy relative to the elements, uncorrected is -18.12 eV/f.u. Its space group is C2/m, No. 12.

---

5.
First-principles (PBE) data for KPr2PaSe5 after structural relaxation, as listed in the Alexandria database.

Cell and atoms, written as POSCAR:
```
KPr2PaSe5
1.0
-2.6577 3.7842 7.2835
2.6577 -3.7842 7.2835
2.6577 3.7842 -7.2835
K Pr Pa Se
1 2 1 5
Cartesian
0.0000 0.0000 0.0000
2.6577 0.0000 4.3358
0.0000 3.7842 2.9478
0.0000 0.0000 7.2835
2.6577 1.9653 -2.1607
2.6577 1.9653 2.1607
0.0000 3.7842 0.0000
0.0000 1.8189 5.1228
0.0000 1.8189 9.4443
```

The calculated density is 5.37 g/cm³. Its energy relative to the elements, uncorrected is -13.75 eV/f.u. Its space group is Immm, No. 71.

---

6.
First-principles (PBE) data for K2Pr2PaTe6 after structural relaxation, as listed in the Alexandria database.

Cell and atoms, written as POSCAR:
```
K2Pr2PaTe6
1.0
3.9565 -6.8108 0.0000
3.9565 6.8108 0.0000
-2.6958 0.0000 8.4145
K Pr Pa Te
2 2 1 6
Cartesian
3.9565 4.4948 0.0000
3.9565 -4.4948 0.0000
2.6086 2.2754 4.2073
2.6086 -2.2754 4.2073
-1.3479 0.0000 4.2073
-0.0664 2.1833 5.9892
1.1966 0.0000 2.4379
-0.0664 -2.1833 5.9892
5.2835 2.1833 2.4254
4.0205 0.0000 5.9766
5.2835 -2.1833 2.4254
```

The calculated density is 4.97 g/cm³. Its energy relative to the elements, uncorrected is -13.75 eV/f.u. Its space group is C2/m, No. 12.